Entry 1:
## Cu2PWSe (GGA-PBE)

Data for crystalline Cu2PWSe at its relaxed geometry.

CIF file:
```
data_Cu2PWSe
_chemical_formula_sum 'Cu2 P1 W1 Se1'
_space_group_name_H-M_alt 'P 4/m m m'
_space_group_IT_number 123
_space_group_name_Hall '-P 4 2'
_cell_length_a 4.319
_cell_length_b 4.319
_cell_length_c 4.659
_cell_angle_alpha 90.00
_cell_angle_beta 90.00
_cell_angle_gamma 90.00
loop_
_atom_site_label
_atom_site_type_symbol
_atom_site_fract_x
_atom_site_fract_y
_atom_site_fract_z
Cu1 Cu 0.000 0.500 0.000
P1 P 0.000 0.000 0.000
W1 W 0.000 0.000 0.500
Se1 Se 0.500 0.500 0.500
```

Properties
* spin magnetization: 0.0 μB per formula unit
* theoretical density: 8.04 g cm⁻³
* V: 87 Å³/f.u.
* formation energy (no corrections): 3.2 eV/f.u.
* raw total energy: -5.376 eV per atom

Entry 2:
## ZnCu2PSe (GGA-PBE)

Data for crystalline ZnCu2PSe at its relaxed geometry.

CIF file:
```
data_ZnCu2PSe
_chemical_formula_sum 'Zn1 Cu2 P1 Se1'
_space_group_name_H-M_alt 'P 4/m m m'
_space_group_IT_number 123
_space_group_name_Hall '-P 4 2'
_cell_length_a 4.591
_cell_length_b 4.591
_cell_length_c 4.486
_cell_angle_alpha 90.00
_cell_angle_beta 90.00
_cell_angle_gamma 90.00
loop_
_atom_site_label
_atom_site_type_symbol
_atom_site_fract_x
_atom_site_fract_y
_atom_site_fract_z
Zn1 Zn 0.000 0.000 0.000
Cu1 Cu 0.000 0.500 0.000
P1 P 0.000 0.000 0.500
Se1 Se 0.500 0.500 0.500
```

Properties
* spin magnetization: 0.0 μB per formula unit
* theoretical density: 5.31 g cm⁻³
* V: 95 Å³/f.u.
* formation energy (no corrections): 4.0 eV/f.u.
* raw total energy: -2.872 eV per atom

Entry 3:
## CuSiP2 (GGA-PBE)

Data for crystalline CuSiP2 at its relaxed geometry.

CIF file:
```
data_CuSiP2
_chemical_formula_sum 'Cu2 Si2 P4'
_space_group_name_H-M_alt 'C 1 2/m 1'
_space_group_IT_number 12
_cell_length_a 10.273
_cell_length_b 3.449
_cell_length_c 3.769
_cell_angle_alpha 90.00
_cell_angle_beta 101.17
_cell_angle_gamma 90.00
loop_
_space_group_symop_operation_xyz
'x,y,z'
'-x,-y,-z'
'-x,y,-z'
'x,-y,z'
'x+1/2,y+1/2,z'
'-x+1/2,-y+1/2,-z'
'-x+1/2,y+1/2,-z'
'x+1/2,-y+1/2,z'
loop_
_atom_site_label
_atom_site_type_symbol
_atom_site_fract_x
_atom_site_fract_y
_atom_site_fract_z
Cu1 Cu 0.000 0.000 0.000
Si1 Si 0.000 0.500 0.500
P1 P 0.163 0.000 0.537
```

Properties
* spin magnetization: 0.0 μB per formula unit
* theoretical density: 3.89 g cm⁻³
* V: 65 Å³/f.u.
* formation energy (no corrections): 0.9 eV/f.u.
* raw total energy: -4.867 eV per atom

Entry 4:
## CuSi2P3 (GGA-PBE)

Data for crystalline CuSi2P3 at its relaxed geometry.

CIF file:
```
data_CuSi2P3
_chemical_formula_sum 'Cu4 Si8 P12'
_space_group_name_H-M_alt 'C 1 m 1'
_space_group_IT_number 8
_cell_length_a 19.709
_cell_length_b 3.616
_cell_length_c 6.426
_cell_angle_alpha 90.00
_cell_angle_beta 106.77
_cell_angle_gamma 90.00
loop_
_space_group_symop_operation_xyz
'x,y,z'
'x,-y,z'
'x+1/2,y+1/2,z'
'x+1/2,-y+1/2,z'
loop_
_atom_site_label
_atom_site_type_symbol
_atom_site_fract_x
_atom_site_fract_y
_atom_site_fract_z
Cu1 Cu 0.000 0.000 0.000
Cu2 Cu 0.157 0.000 0.531
Si1 Si 0.092 0.500 0.958
Si2 Si 0.327 0.500 0.518
Si3 Si 0.332 0.000 0.039
Si4 Si 0.484 0.000 0.478
P1 P 0.102 0.500 0.622
P2 P 0.127 0.000 0.162
P3 P 0.277 0.500 0.145
P4 P 0.280 0.000 0.658
P5 P 0.447 0.500 0.634
P6 P 0.450 0.000 0.119
```

Properties
* spin magnetization: 0.0 μB per formula unit
* theoretical density: 3.22 g cm⁻³
* V: 110 Å³/f.u.
* formation energy (no corrections): -0.6 eV/f.u.
* raw total energy: -5.300 eV per atom

Entry 5:
## CuSiP (GGA-PBE)

Data for crystalline CuSiP at its relaxed geometry.

CIF file:
```
data_CuSiP
_chemical_formula_sum 'Cu2 Si2 P2'
_space_group_name_H-M_alt 'I 4 m m'
_space_group_IT_number 107
_space_group_name_Hall 'I 4 -2'
_cell_length_a 3.330
_cell_length_b 3.330
_cell_length_c 7.748
_cell_angle_alpha 90.00
_cell_angle_beta 90.00
_cell_angle_gamma 90.00
loop_
_atom_site_label
_atom_site_type_symbol
_atom_site_fract_x
_atom_site_fract_y
_atom_site_fract_z
Cu1 Cu 0.000 0.000 0.000
Si1 Si 0.000 0.000 0.683
P1 P 0.000 0.000 0.303
```

Properties
* spin magnetization: 0.0 μB per formula unit
* theoretical density: 4.74 g cm⁻³
* V: 43 Å³/f.u.
* formation energy (no corrections): 1.1 eV/f.u.
* raw total energy: -4.623 eV per atom

Entry 6:
## CuSiP2 (GGA-PBE)

Data for crystalline CuSiP2 at its relaxed geometry.

CIF file:
```
data_CuSiP2
_chemical_formula_sum 'Cu1 Si1 P2'
_space_group_name_H-M_alt 'P 4 m m'
_space_group_IT_number 99
_cell_length_a 3.263
_cell_length_b 3.263
_cell_length_c 6.349
_cell_angle_alpha 90.00
_cell_angle_beta 90.00
_cell_angle_gamma 90.00
loop_
_space_group_symop_operation_xyz
'x,y,z'
'-y,x,z'
'-x,-y,z'
'y,-x,z'
'-x,y,z'
'y,x,z'
'x,-y,z'
'-y,-x,z'
loop_
_atom_site_label
_atom_site_type_symbol
_atom_site_fract_x
_atom_site_fract_y
_atom_site_fract_z
Cu1 Cu 0.000 0.000 0.000
Si1 Si 0.500 0.500 0.740
P1 P 0.000 0.000 0.609
P2 P 0.500 0.500 0.109
```

Properties
* spin magnetization: 0.0 μB per formula unit
* theoretical density: 3.77 g cm⁻³
* V: 68 Å³/f.u.
* formation energy (no corrections): 0.9 eV/f.u.
* raw total energy: -4.867 eV per atom

Entry 7:
## CuSiP (GGA-PBE)

Data for crystalline CuSiP at its relaxed geometry.

CIF file:
```
data_CuSiP
_chemical_formula_sum 'Cu1 Si1 P1'
_space_group_name_H-M_alt 'P 3 m 1'
_space_group_IT_number 156
_cell_length_a 2.6366
_cell_length_b 2.6366
_cell_length_c 7.3813
_cell_angle_alpha 90.00
_cell_angle_beta 90.00
_cell_angle_gamma 120.00
loop_
_space_group_symop_operation_xyz
'x,y,z'
'-y,x-y,z'
'-x+y,-x,z'
'-y,-x,z'
'-x+y,y,z'
'x,x-y,z'
loop_
_atom_site_label
_atom_site_type_symbol
_atom_site_fract_x
_atom_site_fract_y
_atom_site_fract_z
Cu1 Cu 0.0000 0.0000 0.0000
Si1 Si 0.6667 0.3333 0.7133
P1 P 0.3333 0.6667 0.2716
```

Properties
* spin magnetization: 0.0 μB per formula unit
* theoretical density: 4.58 g cm⁻³
* V: 44 Å³/f.u.
* formation energy (no corrections): 1.1 eV/f.u.
* raw total energy: -4.614 eV per atom

Entry 8:
## CuSiP (GGA-PBE)

Data for crystalline CuSiP at its relaxed geometry.

CIF file:
```
data_CuSiP
_chemical_formula_sum 'Cu2 Si2 P2'
_space_group_name_H-M_alt 'I 4 m m'
_space_group_IT_number 107
_space_group_name_Hall 'I 4 -2'
_cell_length_a 2.700
_cell_length_b 2.700
_cell_length_c 11.417
_cell_angle_alpha 90.00
_cell_angle_beta 90.00
_cell_angle_gamma 90.00
loop_
_atom_site_label
_atom_site_type_symbol
_atom_site_fract_x
_atom_site_fract_y
_atom_site_fract_z
Cu1 Cu 0.000 0.000 0.000
Si1 Si 0.000 0.000 0.656
P1 P 0.000 0.000 0.348
```

Properties
* spin magnetization: 0.0 μB per formula unit
* theoretical density: 4.89 g cm⁻³
* V: 42 Å³/f.u.
* formation energy (no corrections): 1.2 eV/f.u.
* raw total energy: -4.583 eV per atom

Entry 9:
## CuSiP2 (GGA-PBE)

Data for crystalline CuSiP2 at its relaxed geometry.

CIF file:
```
data_CuSiP2
_chemical_formula_sum 'Cu1 Si1 P2'
_space_group_name_H-M_alt 'P 4/m m m'
_space_group_IT_number 123
_space_group_name_Hall '-P 4 2'
_cell_length_a 4.724
_cell_length_b 4.724
_cell_length_c 2.505
_cell_angle_alpha 90.00
_cell_angle_beta 90.00
_cell_angle_gamma 90.00
loop_
_atom_site_label
_atom_site_type_symbol
_atom_site_fract_x
_atom_site_fract_y
_atom_site_fract_z
Cu1 Cu 0.000 0.000 0.000
Si1 Si 0.500 0.500 0.000
P1 P 0.000 0.500 0.500
```

Properties
* spin magnetization: 0.0 μB per formula unit
* theoretical density: 4.56 g cm⁻³
* V: 56 Å³/f.u.
* formation energy (no corrections): 1.7 eV/f.u.
* raw total energy: -4.663 eV per atom

Entry 10:
## CuSiP2 (GGA-PBE)

Data for crystalline CuSiP2 at its relaxed geometry.

CIF file:
```
data_CuSiP2
_chemical_formula_sum 'Cu1 Si1 P2'
_space_group_name_H-M_alt 'P 4 m m'
_space_group_IT_number 99
_cell_length_a 2.434
_cell_length_b 2.434
_cell_length_c 11.031
_cell_angle_alpha 90.00
_cell_angle_beta 90.00
_cell_angle_gamma 90.00
loop_
_space_group_symop_operation_xyz
'x,y,z'
'-y,x,z'
'-x,-y,z'
'y,-x,z'
'-x,y,z'
'y,x,z'
'x,-y,z'
'-y,-x,z'
loop_
_atom_site_label
_atom_site_type_symbol
_atom_site_fract_x
_atom_site_fract_y
_atom_site_fract_z
Cu1 Cu 0.000 0.000 0.000
Si1 Si 0.500 0.500 0.812
P1 P 0.000 0.000 0.520
P2 P 0.500 0.500 0.183
```

Properties
* spin magnetization: 0.0 μB per formula unit
* theoretical density: 3.90 g cm⁻³
* V: 65 Å³/f.u.
* formation energy (no corrections): 1.7 eV/f.u.
* raw total energy: -4.658 eV per atom

Q: The highest raw total energy belongs to which entry?
A: ZnCu2PSe

Q: The lowest V belongs to which entry?
A: number 8

Q: The lowest theoretical density belongs to which entry?
A: CuSi2P3